[1]
The following is a PBE calculation of a relaxed Li2PuHg8 crystal, from Alexandria.

Calculated values
Energy relative to the elements: -0.13 eV per atom

Cell lengths 3.558, 7.942, 10.861 Å; angles 119.31, 99.43, 90.00 degrees
Last column: magnetic moment on the atom in μB.
Element x y z (fractional)
Hg 0.154 0.221 0.309  0.01
Pu 0.500 0.000 0.000  5.60
Hg 0.317 0.089 0.634  0.00
Hg 0.846 0.779 0.691  0.01
Hg 0.043 0.731 0.085  0.01
Li 0.222 0.654 0.444  0.00
Hg 0.601 0.473 0.202  0.01
Li 0.778 0.346 0.556  0.00
Hg 0.399 0.527 0.798  0.01
Hg 0.957 0.269 0.915  0.01
Hg 0.683 0.911 0.366  0.00


[2]
The following is a PBE calculation of a relaxed CsPS2F crystal, from Alexandria.

Calculated values
ΔE_f (raw): 1.173 eV per formula unit
Offset from the most stable computed form: 0.00 kcal/mol of atoms

Cell lengths 5.929, 5.929, 3.762 Å; angles 90.00, 90.00, 90.00 degrees
Last column: magnetic moment on the atom in μB.
Element x y z (fractional)
Cs 0.500 0.500 0.500  0.01
S 0.000 0.500 0.000  0.62
S 0.500 0.000 0.000  0.62
P 0.000 0.000 0.500  -0.39
F 0.000 0.000 0.000  -0.02


[3]
The following is a PBE calculation of a relaxed CeHgS2O8 crystal, from Alexandria.

Calculated values
ΔE_f (raw): -20.651 eV per formula unit

Cell lengths 5.687, 5.687, 8.954 Å; angles 89.85, 89.85, 60.18 degrees
Last column: magnetic moment on the atom in μB.
Element x y z (fractional)
O 0.804 0.380 0.143  -0.01
O 0.620 0.196 0.857  -0.01
S 0.335 0.335 0.796  0.00
O 0.195 0.195 0.866  -0.01
O 0.380 0.804 0.143  -0.01
S 0.665 0.665 0.204  0.00
O 0.805 0.805 0.134  -0.01
Hg 0.000 0.000 0.500  -0.16
O 0.331 0.331 0.636  -0.01
Ce 0.000 0.000 0.000  0.28
O 0.196 0.620 0.857  -0.01
O 0.669 0.669 0.364  -0.01


[4]
The following is a PBE calculation of a relaxed TlCdFe2 crystal, from Alexandria.

Calculated values
Energy relative to the elements: 0.54 eV per atom

Cell lengths 5.084, 5.084, 5.084 Å; angles 133.43, 133.43, 67.98 degrees
Last column: magnetic moment on the atom in μB.
Element x y z (fractional)
Fe 0.000 0.000 0.000  2.65
Tl 0.500 0.500 0.000  -0.06
Cd 0.750 0.250 0.500  -0.05
Fe 0.250 0.750 0.500  2.63


Total DFT energy (no corrections) values, unit eV for the cell shown, following the record order: -22.0 -15.2 -74.8 -18.1.
D(E_F) values, unit states/eV/atom, following the record order: 1.304 0.917 0.484 0.753.
Total magnetization values, unit Bohr magnetons per cell, following the record order: 6.05 1.17 0.03 5.10.